1:
Density functional theory data (GGA-PBE) for an optimized crystal structure of AlNi4Ge.

POSCAR file:
```
AlNi4Ge
1.0
-0.507 -1.797 2.747
-3.712 -2.529 -0.331
4.548 -3.708 0.422
Ni Al Ge
4 1 1
direct
0.334 0.001 0.331 Ni
0.828 0.512 0.833 Ni
0.666 0.999 0.669 Ni
0.172 0.488 0.167 Ni
0.500 0.500 0.500 Al
0.000 0.000 0.000 Ge
```

Results
crystal system: monoclinic
space group: No. 12
theoretical density: 7.9 g/cm³



2:
Density functional theory data (GGA-PBE) for an optimized crystal structure of AlNi4Ge.

POSCAR file:
```
AlNi4Ge
1.0
-2.964 1.677 -1.858
-3.438 -1.779 -0.171
-3.869 2.784 4.635
Ni Ge Al
4 1 1
direct
0.376 0.375 0.874 Ni
0.624 0.625 0.126 Ni
0.873 0.873 0.380 Ni
0.127 0.127 0.620 Ni
0.500 0.500 0.500 Ge
0.000 0.000 0.000 Al
```

Results
crystal system: monoclinic
space group: No. 12
theoretical density: 6.8 g/cm³



Which structure loses on stability? 2 does.



1:
Density functional theory data (GGA-PBE) for an optimized crystal structure of NpAl2Ge.

POSCAR file:
```
NpAl2Ge
1.0
4.393 0.000 0.000
0.000 4.166 0.000
0.000 0.000 4.166
Al Ge Np
2 1 1
direct
0.000 0.500 0.000 Al
0.000 0.000 0.500 Al
0.500 0.000 0.000 Ge
0.500 0.500 0.500 Np
```

Results
crystal system: tetragonal
space group: No. 123
theoretical density: 7.9 g/cm³



2:
Density functional theory data (GGA-PBE) for an optimized crystal structure of NpAl2Ge.

POSCAR file:
```
NpAl2Ge
1.0
4.817 0.000 0.000
2.409 4.172 0.000
2.409 1.391 3.933
Ge Al Np
1 2 1
direct
0.500 0.500 0.500 Ge
0.250 0.250 0.250 Al
0.750 0.750 0.750 Al
0.000 0.000 0.000 Np
```

Results
crystal system: cubic
space group: No. 225
theoretical density: 7.6 g/cm³



Which structure loses on stability? 2 does.



1:
Density functional theory data (GGA-PBE) for an optimized crystal structure of AlGeO4.

POSCAR file:
```
AlGeO4
1.0
5.024 0.634 0.000
0.232 5.058 0.000
0.000 0.000 5.700
O Al Ge
8 2 2
direct
0.662 0.662 0.531 O
0.338 0.338 0.031 O
0.248 0.824 0.250 O
0.752 0.176 0.750 O
0.338 0.338 0.469 O
0.176 0.752 0.750 O
0.662 0.662 0.969 O
0.824 0.248 0.250 O
0.459 0.459 0.750 Al
0.541 0.541 0.250 Al
0.174 0.174 0.250 Ge
0.826 0.826 0.750 Ge
```

Results
crystal system: orthorhombic
space group: No. 63
theoretical density: 3.8 g/cm³



2:
Density functional theory data (GGA-PBE) for an optimized crystal structure of AlGeO4.

POSCAR file:
```
AlGeO4
1.0
-5.063 -0.446 -1.557
1.427 -3.515 3.723
0.587 4.849 2.097
O Ge Al
8 2 2
direct
0.250 0.555 0.305 O
0.694 0.500 0.195 O
0.305 0.500 0.805 O
0.250 0.944 0.695 O
0.803 0.001 0.802 O
0.751 0.449 0.698 O
0.199 0.001 0.198 O
0.751 0.053 0.302 O
0.998 0.498 0.500 Ge
0.248 0.248 0.000 Ge
0.752 0.752 0.000 Al
0.502 0.002 0.500 Al
```

Results
crystal system: tetragonal
space group: No. 109
theoretical density: 4.7 g/cm³



Which structure loses on stability? 1 does.